The following is a PBE+U calculation of crystalline CsMn2GaF8 at its relaxed geometry, from Alexandria via LeMat-Bulk.

Calculated values
Final energy (eV per cell): -65.343

Unit cell a=4.824 b=4.803 c=9.025 alpha=93.45 beta=86.99 gamma=89.64
Site moments in Bohr magnetons follow the coordinates.
Positions (direct):
Cs 0.000 0.000 0.500  0.00
Mn 0.491 0.458 0.820  4.67
Mn 0.509 0.542 0.180  4.67
Ga 0.000 0.000 0.000  0.02
F 0.149 0.792 0.149  0.02
F 0.692 0.732 0.988  0.03
F 0.804 0.214 0.159  0.02
F 0.851 0.208 0.851  0.02
F 0.308 0.268 0.012  0.03
F 0.196 0.786 0.841  0.02
F 0.530 0.697 0.381  0.04
F 0.470 0.303 0.619  0.04